[1]
Compound: CaLaRe2
Source: Alexandria
Functional: PBE
Structure: relaxed

The value obtained for the density of states at the Fermi level is 4.3 states/eV/f.u. Its total DFT energy (no corrections) is -7.0824 eV per atom. For the spin magnetization, the calculation gives 0.000 μB per formula unit. The calculation puts the formation energy at 0.874 eV per atom.

It has space group Cmmm (No. 65), with a = 6.0360 Å, b = 9.9475 Å, c = 2.7505 Å, α = 90.00°, β = 90.00° and γ = 90.00°. The inequivalent atoms are Ca at (0.0000, 0.0000, 0.0000), La at (0.0000, 0.5000, 0.0000) and Re at (0.2500, 0.2500, 0.5000).

[2]
Compound: CaLaRe2
Source: Alexandria
Functional: PBE
Structure: relaxed

The value obtained for the density of states at the Fermi level is 5.9 states/eV/f.u. Its total DFT energy (no corrections) is -7.2621 eV per atom. For the spin magnetization, the calculation gives 0.000 μB per formula unit. The calculation puts the formation energy at 0.694 eV per atom.

It has space group R3m (No. 160, hexagonal axes), with a = 3.2007 Å, b = 3.2007 Å, c = 31.1294 Å, α = 90.00°, β = 90.00° and γ = 120.00°. The inequivalent atoms are Ca at (0.0000, 0.0000, 0.0000), La at (0.0000, 0.0000, 0.2206), Re at (0.0000, 0.0000, 0.4709) and Re at (0.0000, 0.0000, 0.7482).

[3]
Compound: CaLaRe2
Source: Alexandria
Functional: PBE
Structure: relaxed

The value obtained for the density of states at the Fermi level is 4.7 states/eV/f.u. Its total DFT energy (no corrections) is -6.9531 eV per atom. For the spin magnetization, the calculation gives 0.623 μB per formula unit. The calculation puts the formation energy at 1.003 eV per atom.

It has space group R-3m (No. 166, hexagonal axes), with a = 2.9520 Å, b = 2.9520 Å, c = 32.3776 Å, α = 90.00°, β = 90.00° and γ = 120.00°. The inequivalent atoms are Ca at (0.0000, 0.0000, 0.0000), La at (0.0000, 0.0000, 0.5000) and Re at (0.0000, 0.0000, 0.2541).

Look up the total DFT energy (no corrections) of the third one. -6.9531 eV per atom

Which value of total DFT energy (no corrections) does entry 3 give? -6.9531 eV per atom